Record 1
The following is a PBE-GGA calculation of a geometry-optimized YPtCl2 structure, from the Alexandria database.

Output
Total DFT energy (no corrections) = -19.69 eV per cell
Spin magnetization = 0.00 μB/cell
Excess energy over the best structure of this formula in the dataset = 285.5 meV/atom

Cell lengths 5.398, 5.398, 5.398 Å; angles 134.24, 134.24, 66.72 degrees
Fractional positions:
Y  0.750  0.250  0.500
Pt  0.500  0.500  0.000
Cl  0.000  0.000  0.000
Cl  0.250  0.750  0.500

---

Record 2
The following is a PBE-GGA calculation of a geometry-optimized YPt2Cl structure, from the Alexandria database.

Output
Total DFT energy (no corrections) = -22.88 eV per cell
Spin magnetization = 0.00 μB/cell
Excess energy over the best structure of this formula in the dataset = 347.5 meV/atom

Cell lengths 4.843, 4.843, 4.843 Å; angles 125.09, 117.92, 87.53 degrees
Fractional positions:
Cl  0.784  0.284  0.500
Pt  0.999  0.999  0.000
Pt  0.224  0.724  0.500
Y  0.494  0.494  0.000

---

Record 3
The following is a PBE-GGA calculation of a geometry-optimized Y4PtCl structure, from the Alexandria database.

Output
Total DFT energy (no corrections) = -31.58 eV per cell
Spin magnetization = 0.00 μB/cell

Cell lengths 6.208, 6.208, 6.208 Å; angles 60.00, 60.00, 60.00 degrees
Fractional positions:
Y  0.879  0.374  0.374
Y  0.374  0.374  0.879
Y  0.374  0.879  0.374
Y  0.374  0.374  0.374
Pt  0.000  0.000  0.000
Cl  0.750  0.750  0.750

---

Record 4
The following is a PBE-GGA calculation of a geometry-optimized YPt2Cl structure, from the Alexandria database.

Output
Total DFT energy (no corrections) = -21.85 eV per cell
Spin magnetization = 0.00 μB/cell
Excess energy over the best structure of this formula in the dataset = 604.0 meV/atom

Cell lengths 3.174, 3.174, 7.857 Å; angles 90.00, 90.00, 90.07 degrees
Fractional positions:
Cl  0.500  0.500  0.750
Pt  0.000  0.000  0.005
Pt  0.000  0.000  0.495
Y  0.500  0.500  0.250

---

Record 5
The following is a PBE-GGA calculation of a geometry-optimized YPt2Cl structure, from the Alexandria database.

Output
Total DFT energy (no corrections) = -23.63 eV per cell
Spin magnetization = 0.00 μB/cell
Excess energy over the best structure of this formula in the dataset = 158.4 meV/atom

Cell lengths 3.568, 3.589, 7.895 Å; angles 75.83, 90.00, 90.00 degrees
Fractional positions:
Cl  0.500  0.964  0.673
Pt  0.000  0.756  0.132
Pt  0.500  0.206  0.226
Y  0.000  0.574  0.469

---

Record 6
The following is a PBE-GGA calculation of a geometry-optimized YPtCl2 structure, from the Alexandria database.

Output
Total DFT energy (no corrections) = -19.47 eV per cell
Spin magnetization = 0.00 μB/cell
Excess energy over the best structure of this formula in the dataset = 341.4 meV/atom

Cell lengths 3.882, 4.843, 4.224 Å; angles 90.00, 90.00, 90.00 degrees
Fractional positions:
Y  0.000  0.500  0.500
Pt  0.500  0.000  0.500
Cl  0.000  0.000  0.000
Cl  0.500  0.500  0.000